i:
DFT (SCAN) results for a PBEsol-optimized structure of TaP2Ru.

a = 3.001 Å, b = 3.001 Å, c = 5.958 Å
α = 90.00°, β = 90.00°, γ = 90.00°
Space group P4/mmm (No. 123)
One atom of each set of equivalent atoms:
Ta: 0.000 0.000 0.000 [1 per cell]
P: 0.500 0.500 0.251 [2 per cell]
Ru: 0.000 0.000 0.500 [1 per cell]

## Properties
Its volume is 13.42 A^3/atom. As for the crystal system: tetragonal. The value obtained for the total magnetic moment is 0.0 μB/f.u.

ii:
DFT (SCAN) results for a PBEsol-optimized structure of TaP2Ru.

a = 7.130 Å, b = 3.030 Å, c = 5.403 Å
α = 90.00°, β = 102.68°, γ = 90.00°
Space group C2/m (No. 12)
One atom of each set of equivalent atoms:
Ta: 0.000 0.000 0.000 [2 per cell]
P: 0.248 0.000 0.722 [4 per cell]
Ru: 0.000 0.500 0.500 [2 per cell]

## Properties
Its volume is 14.23 A^3/atom. As for the crystal system: monoclinic. The value obtained for the total magnetic moment is 0.0 μB/f.u.

iii:
DFT (SCAN) results for a PBEsol-optimized structure of TaP2Ru.

a = 5.982 Å, b = 5.982 Å, c = 5.982 Å
α = 90.00°, β = 90.00°, γ = 90.00°
Space group Fm-3m (No. 225)
One atom of each set of equivalent atoms:
Ta: 0.000 0.000 0.000 [4 per cell]
P: 0.250 0.250 0.250 [8 per cell]
Ru: 0.000 0.000 0.500 [4 per cell]

## Properties
Its volume is 13.38 A^3/atom. As for the crystal system: cubic. The value obtained for the total magnetic moment is 0.0 μB/f.u.

Most stable structure: iii

i:
DFT (SCAN) results for a PBEsol-optimized structure of TePRu2.

a = 3.535 Å, b = 5.027 Å, c = 7.252 Å
α = 90.00°, β = 90.00°, γ = 90.00°
Space group Immm (No. 71)
One atom of each set of equivalent atoms:
Te: 0.000 0.000 0.000 [2 per cell]
P: 0.000 0.000 0.500 [2 per cell]
Ru: 0.000 0.500 0.194 [4 per cell]

## Properties
Its volume is 16.11 A^3/atom. As for the crystal system: orthorhombic. The value obtained for the total magnetic moment is 0.0 μB/f.u.

ii:
DFT (SCAN) results for a PBEsol-optimized structure of TePRu2.

a = 3.046 Å, b = 4.091 Å, c = 5.053 Å
α = 90.00°, β = 90.00°, γ = 90.00°
Space group Pmmm (No. 47)
One atom of each set of equivalent atoms:
Te: 0.000 0.000 0.000 [1 per cell]
P: 0.500 0.000 0.500 [1 per cell]
Ru: 0.000 0.500 0.500 [1 per cell]
Ru: 0.500 0.500 0.000 [1 per cell]

## Properties
Its volume is 15.74 A^3/atom. As for the crystal system: orthorhombic. The value obtained for the total magnetic moment is 0.0 μB/f.u.

iii:
DFT (SCAN) results for a PBEsol-optimized structure of TePRu2.

a = 6.813 Å, b = 3.012 Å, c = 6.482 Å
α = 90.00°, β = 101.18°, γ = 90.00°
Space group C2/m (No. 12)
One atom of each set of equivalent atoms:
Te: 0.000 0.000 0.000 [2 per cell]
P: 0.000 0.500 0.500 [2 per cell]
Ru: 0.238 0.000 0.676 [4 per cell]

## Properties
Its volume is 16.31 A^3/atom. As for the crystal system: monoclinic. The value obtained for the total magnetic moment is 0.0 μB/f.u.

iv:
DFT (SCAN) results for a PBEsol-optimized structure of TePRu2.

a = 4.276 Å, b = 4.276 Å, c = 3.280 Å
α = 90.00°, β = 90.00°, γ = 90.00°
Space group P4/mmm (No. 123)
One atom of each set of equivalent atoms:
Te: 0.000 0.000 0.000 [1 per cell]
P: 0.500 0.500 0.000 [1 per cell]
Ru: 0.000 0.500 0.500 [2 per cell]

## Properties
Its volume is 14.99 A^3/atom. As for the crystal system: tetragonal. The value obtained for the total magnetic moment is 0.0 μB/f.u.

Most stable structure: iii

i:
DFT (SCAN) results for a PBEsol-optimized structure of TePRu2.

a = 2.9749 Å, b = 2.9749 Å, c = 27.4811 Å
α = 90.00°, β = 90.00°, γ = 120.00°
Space group R3m (No. 160, hexagonal axes)
One atom of each set of equivalent atoms:
Te: 0.0000 0.0000 0.0000 [3 per cell]
P: 0.0000 0.0000 0.7891 [3 per cell]
Ru: 0.0000 0.0000 0.2604 [3 per cell]
Ru: 0.0000 0.0000 0.5127 [3 per cell]

## Properties
Its volume is 17.55 A^3/atom. As for the crystal system: trigonal. The value obtained for the total magnetic moment is 0.0 μB/f.u.

ii:
DFT (SCAN) results for a PBEsol-optimized structure of TePRu2.

a = 3.039 Å, b = 3.695 Å, c = 5.673 Å
α = 90.00°, β = 90.00°, γ = 90.00°
Space group Pmm2 (No. 25)
One atom of each set of equivalent atoms:
Te: 0.000 0.000 0.000 [1 per cell]
P: 0.500 0.500 0.410 [1 per cell]
Ru: 0.000 0.000 0.481 [1 per cell]
Ru: 0.500 0.500 0.804 [1 per cell]

## Properties
Its volume is 15.93 A^3/atom. As for the crystal system: orthorhombic. The value obtained for the total magnetic moment is 0.0 μB/f.u.

Most stable structure: ii

i:
DFT (SCAN) results for a PBEsol-optimized structure of P2WS2.

a = 4.715 Å, b = 4.715 Å, c = 4.432 Å
α = 90.00°, β = 90.00°, γ = 90.00°
Space group P4/mmm (No. 123)
One atom of each set of equivalent atoms:
P: 0.000 0.500 0.000 [2 per cell]
W: 0.000 0.000 0.000 [1 per cell]
S: 0.000 0.000 0.500 [1 per cell]
S: 0.500 0.500 0.500 [1 per cell]

## Properties
Its volume is 19.70 A^3/atom. As for the crystal system: tetragonal. The value obtained for the total magnetic moment is 0.0 μB/f.u.

ii:
DFT (SCAN) results for a PBEsol-optimized structure of P2WS2.

a = 4.233 Å, b = 4.233 Å, c = 4.329 Å
α = 90.00°, β = 90.00°, γ = 90.00°
Space group P4/mmm (No. 123)
One atom of each set of equivalent atoms:
P: 0.000 0.500 0.000 [2 per cell]
W: 0.000 0.000 0.500 [1 per cell]
S: 0.500 0.500 0.000 [1 per cell]
S: 0.500 0.500 0.500 [1 per cell]

## Properties
Its volume is 15.52 A^3/atom. As for the crystal system: tetragonal. The value obtained for the total magnetic moment is 1.6 μB/f.u.

Most stable structure: i

i:
DFT (SCAN) results for a PBEsol-optimized structure of SbP.

a = 6.855 Å, b = 6.855 Å, c = 6.855 Å
α = 90.00°, β = 90.00°, γ = 90.00°
Space group Fd-3m (No. 227, origin choice 2)
One atom of each set of equivalent atoms:
Sb: 0.125 0.125 0.125 [8 per cell]
P: 0.125 0.125 0.625 [8 per cell]

## Properties
Its volume is 20.14 A^3/atom. As for the crystal system: cubic. The value obtained for the total magnetic moment is 0.0 μB/f.u.

ii:
DFT (SCAN) results for a PBEsol-optimized structure of SbP.

a = 11.873 Å, b = 3.920 Å, c = 5.557 Å
α = 90.00°, β = 90.44°, γ = 90.00°
Space group C2/m (No. 12)
One atom of each set of equivalent atoms:
Sb: 0.000 0.000 0.000 [2 per cell]
Sb: 0.158 0.500 0.516 [4 per cell]
P: 0.000 0.000 0.500 [2 per cell]
P: 0.175 0.500 0.997 [4 per cell]

## Properties
Its volume is 21.55 A^3/atom. As for the crystal system: monoclinic. The value obtained for the total magnetic moment is 0.0 μB/f.u.

iii:
DFT (SCAN) results for a PBEsol-optimized structure of SbP.

a = 4.1505 Å, b = 4.1505 Å, c = 11.5587 Å
α = 90.00°, β = 90.00°, γ = 120.00°
Space group P6_3/mmc (No. 194)
One atom of each set of equivalent atoms:
Sb: 0.3333 0.6667 0.0753 [4 per cell]
P: 0.0000 0.0000 0.2500 [2 per cell]
P: 0.3333 0.6667 0.7500 [2 per cell]

## Properties
Its volume is 21.55 A^3/atom. As for the crystal system: hexagonal. The value obtained for the total magnetic moment is 0.0 μB/f.u.

Most stable structure: ii

i:
DFT (SCAN) results for a PBEsol-optimized structure of SbP2.

a = 3.379 Å, b = 3.379 Å, c = 5.106 Å
α = 90.00°, β = 90.00°, γ = 90.00°
Space group P4/mmm (No. 123)
One atom of each set of equivalent atoms:
Sb: 0.000 0.000 0.000 [1 per cell]
P: 0.000 0.500 0.500 [2 per cell]

## Properties
Its volume is 19.44 A^3/atom. As for the crystal system: tetragonal. The value obtained for the total magnetic moment is 0.0 μB/f.u.

ii:
DFT (SCAN) results for a PBEsol-optimized structure of SbP2.

a = 11.366 Å, b = 3.190 Å, c = 8.312 Å
α = 90.00°, β = 113.87°, γ = 90.00°
Space group C2/m (No. 12)
One atom of each set of equivalent atoms:
Sb: 0.075 0.000 0.187 [4 per cell]
P: 0.108 0.500 0.570 [4 per cell]
P: 0.139 0.000 0.766 [4 per cell]

## Properties
Its volume is 22.97 A^3/atom. As for the crystal system: monoclinic. The value obtained for the total magnetic moment is 0.0 μB/f.u.

Most stable structure: ii

i:
DFT (SCAN) results for a PBEsol-optimized structure of Sb2PSe.

a = 4.445 Å, b = 3.777 Å, c = 5.966 Å
α = 90.00°, β = 104.41°, γ = 90.00°
Space group Pm (No. 6)
One atom of each set of equivalent atoms:
Sb: 0.000 0.000 0.000 [1 per cell]
Sb: 0.462 0.500 0.491 [1 per cell]
P: 0.584 0.500 0.938 [1 per cell]
Se: 0.965 0.000 0.503 [1 per cell]

## Properties
Its volume is 24.25 A^3/atom. As for the crystal system: monoclinic. The value obtained for the total magnetic moment is 0.0 μB/f.u.

ii:
DFT (SCAN) results for a PBEsol-optimized structure of Sb2PSe.

a = 6.970 Å, b = 6.970 Å, c = 6.970 Å
α = 90.00°, β = 90.00°, γ = 90.00°
Space group Fm-3m (No. 225)
One atom of each set of equivalent atoms:
Sb: 0.250 0.250 0.250 [8 per cell]
P: 0.000 0.000 0.000 [4 per cell]
Se: 0.000 0.000 0.500 [4 per cell]

## Properties
Its volume is 21.16 A^3/atom. As for the crystal system: cubic. The value obtained for the total magnetic moment is 0.0 μB/f.u.

Most stable structure: i

i:
DFT (SCAN) results for a PBEsol-optimized structure of Sb2PSe.

a = 6.622 Å, b = 4.200 Å, c = 7.212 Å
α = 90.00°, β = 111.43°, γ = 90.00°
Space group C2/m (No. 12)
One atom of each set of equivalent atoms:
Sb: 0.242 0.000 0.229 [4 per cell]
P: 0.000 0.500 0.000 [2 per cell]
Se: 0.000 0.000 0.500 [2 per cell]

## Properties
Its volume is 23.34 A^3/atom. As for the crystal system: monoclinic. The value obtained for the total magnetic moment is 0.0 μB/f.u.

ii:
DFT (SCAN) results for a PBEsol-optimized structure of Sb2PSe.

a = 5.894 Å, b = 8.098 Å, c = 3.989 Å
α = 90.00°, β = 90.00°, γ = 90.00°
Space group Cmmm (No. 65)
One atom of each set of equivalent atoms:
Sb: 0.000 0.233 0.000 [4 per cell]
P: 0.000 0.000 0.500 [2 per cell]
Se: 0.000 0.500 0.500 [2 per cell]

## Properties
Its volume is 23.80 A^3/atom. As for the crystal system: orthorhombic. The value obtained for the total magnetic moment is 0.0 μB/f.u.

Most stable structure: i

i:
DFT (SCAN) results for a PBEsol-optimized structure of Tc2SbP.

a = 5.662 Å, b = 5.662 Å, c = 10.496 Å
α = 90.00°, β = 90.00°, γ = 90.00°
Space group I-42d (No. 122)
One atom of each set of equivalent atoms:
Tc: 0.200 0.250 0.125 [8 per cell]
Sb: 0.000 0.000 0.500 [4 per cell]
P: 0.000 0.000 0.000 [4 per cell]

## Properties
Its volume is 21.03 A^3/atom. As for the crystal system: tetragonal. The value obtained for the total magnetic moment is 0.0 μB/f.u.

ii:
DFT (SCAN) results for a PBEsol-optimized structure of Tc2SbP.

a = 6.169 Å, b = 6.169 Å, c = 6.169 Å
α = 90.00°, β = 90.00°, γ = 90.00°
Space group Fm-3m (No. 225)
One atom of each set of equivalent atoms:
Tc: 0.250 0.250 0.250 [8 per cell]
Sb: 0.000 0.000 0.000 [4 per cell]
P: 0.000 0.000 0.500 [4 per cell]

## Properties
Its volume is 14.67 A^3/atom. As for the crystal system: cubic. The value obtained for the total magnetic moment is 0.0 μB/f.u.

Most stable structure: ii

i:
DFT (SCAN) results for a PBEsol-optimized structure of SbTeP2.

a = 3.168 Å, b = 4.128 Å, c = 15.269 Å
α = 90.00°, β = 90.00°, γ = 90.00°
Space group Imm2 (No. 44)
One atom of each set of equivalent atoms:
Sb: 0.000 0.000 0.000 [2 per cell]
Te: 0.000 0.500 0.865 [2 per cell]
P: 0.000 0.000 0.628 [2 per cell]
P: 0.000 0.500 0.220 [2 per cell]

## Properties
Its volume is 24.96 A^3/atom. As for the crystal system: orthorhombic. The value obtained for the total magnetic moment is 0.0 μB/f.u.

ii:
DFT (SCAN) results for a PBEsol-optimized structure of SbTeP2.

a = 3.950 Å, b = 3.950 Å, c = 5.614 Å
α = 90.00°, β = 90.00°, γ = 90.00°
Space group P4mm (No. 99)
One atom of each set of equivalent atoms:
Sb: 0.000 0.000 0.000 [1 per cell]
Te: 0.500 0.500 0.507 [1 per cell]
P: 0.000 0.000 0.518 [1 per cell]
P: 0.500 0.500 0.006 [1 per cell]

## Properties
Its volume is 21.90 A^3/atom. As for the crystal system: tetragonal. The value obtained for the total magnetic moment is 0.0 μB/f.u.

iii:
DFT (SCAN) results for a PBEsol-optimized structure of SbTeP2.

a = 6.831 Å, b = 6.831 Å, c = 6.831 Å
α = 90.00°, β = 90.00°, γ = 90.00°
Space group Fm-3m (No. 225)
One atom of each set of equivalent atoms:
Sb: 0.000 0.000 0.000 [4 per cell]
Te: 0.000 0.000 0.500 [4 per cell]
P: 0.250 0.250 0.250 [8 per cell]

## Properties
Its volume is 19.92 A^3/atom. As for the crystal system: cubic. The value obtained for the total magnetic moment is 0.0 μB/f.u.

iv:
DFT (SCAN) results for a PBEsol-optimized structure of SbTeP2.

a = 4.799 Å, b = 3.882 Å, c = 5.277 Å
α = 90.00°, β = 106.82°, γ = 90.00°
Space group P2/m (No. 10)
One atom of each set of equivalent atoms:
Sb: 0.000 0.000 0.000 [1 per cell]
Te: 0.500 0.000 0.500 [1 per cell]
P: 0.307 0.500 0.820 [2 per cell]

## Properties
Its volume is 23.53 A^3/atom. As for the crystal system: monoclinic. The value obtained for the total magnetic moment is 0.0 μB/f.u.

Most stable structure: i

i:
DFT (SCAN) results for a PBEsol-optimized structure of SbTeP2.

a = 3.336 Å, b = 3.336 Å, c = 8.206 Å
α = 90.00°, β = 90.00°, γ = 90.00°
Space group P4mm (No. 99)
One atom of each set of equivalent atoms:
Sb: 0.000 0.000 0.000 [1 per cell]
Te: 0.500 0.500 0.348 [1 per cell]
P: 0.000 0.000 0.690 [1 per cell]
P: 0.500 0.500 0.653 [1 per cell]

## Properties
Its volume is 22.83 A^3/atom. As for the crystal system: tetragonal. The value obtained for the total magnetic moment is 0.0 μB/f.u.

ii:
DFT (SCAN) results for a PBEsol-optimized structure of SbTeP2.

a = 6.896 Å, b = 6.896 Å, c = 6.896 Å
α = 90.00°, β = 90.00°, γ = 90.00°
Space group F-43m (No. 216)
One atom of each set of equivalent atoms:
Sb: 0.000 0.000 0.000 [4 per cell]
Te: 0.250 0.250 0.250 [4 per cell]
P: 0.000 0.000 0.500 [4 per cell]
P: 0.250 0.250 0.750 [4 per cell]

## Properties
Its volume is 20.50 A^3/atom. As for the crystal system: cubic. The value obtained for the total magnetic moment is 0.0 μB/f.u.

iii:
DFT (SCAN) results for a PBEsol-optimized structure of SbTeP2.

a = 4.812 Å, b = 4.812 Å, c = 3.442 Å
α = 90.00°, β = 90.00°, γ = 90.00°
Space group P4/mmm (No. 123)
One atom of each set of equivalent atoms:
Sb: 0.000 0.000 0.000 [1 per cell]
Te: 0.500 0.500 0.000 [1 per cell]
P: 0.000 0.500 0.500 [2 per cell]

## Properties
Its volume is 19.92 A^3/atom. As for the crystal system: tetragonal. The value obtained for the total magnetic moment is 0.0 μB/f.u.

Most stable structure: i